# 1
Zr2NbTcH | GGA-PBE | relaxed

Cell: 4.7448 4.7448 3.5058 Å, 90.00 90.00 90.00°
With the nearest neighbours (Å) after each atom.
Space group P4/mmm (No. 123)
Unique sites:
Zr 0.0000 0.5000 0.0000 [2 per cell]  2 H 2.37
Nb 0.0000 0.0000 0.5000 [1 per cell]  8 Zr 2.95
Tc 0.5000 0.5000 0.5000 [1 per cell]  2 H 1.75
H 0.5000 0.5000 0.0000 [1 per cell]  2 Tc 1.75

Summary:
Its calculated total energy is -8.3232 eV per atom. The value obtained for the density of states at the Fermi level is 6.16 states/eV/f.u. Its energy above the most stable polymorph in this dataset is 0.0000 eV per atom.

# 2
NbTeH2 | GGA-PBE | relaxed

Cell: 6.0180 3.5225 5.2632 Å, 90.00 112.89 90.00°
With the nearest neighbours (Å) after each atom.
Space group Cm (No. 8)
Unique sites:
Nb 0.0000 0.0000 0.0000 [2 per cell]  4 H 1.95-2.14
Te 0.1967 0.0000 0.5973 [2 per cell]  3 H 2.67-2.92, 4 Nb 2.80-2.90
H 0.1663 0.5000 0.0571 [2 per cell]  3 Nb 1.99-2.14, 3 H 2.04-2.12
H 0.3521 0.0000 0.1456 [2 per cell]  1 Nb 1.95, 3 H 2.04-2.12

Summary:
Its calculated total energy is -5.1252 eV per atom. The value obtained for the density of states at the Fermi level is 1.58 states/eV/f.u. Its energy above the most stable polymorph in this dataset is 0.0000 eV per atom.

# 3
NbTe2H | GGA-PBE | relaxed

Cell: 3.2202 3.2202 26.3491 Å, 90.00 90.00 120.00°
With the nearest neighbours (Å) after each atom.
Space group R-3m (No. 166, hexagonal axes)
Unique sites:
Nb 0.0000 0.0000 0.0000 [3 per cell]  2 Te 2.78
Te 0.0000 0.0000 0.1057 [6 per cell]  3 H 2.46
H 0.0000 0.0000 0.5000 [3 per cell]  6 Te 2.46

Summary:
Its calculated total energy is -4.1242 eV per atom. The value obtained for the density of states at the Fermi level is 3.80 states/eV/f.u. Its energy above the most stable polymorph in this dataset is 1.2802 eV per atom.

# 4
NbTe2H | GGA-PBE | relaxed

Cell: 3.6039 3.6039 22.9524 Å, 90.00 90.00 120.00°
With the nearest neighbours (Å) after each atom.
Space group R3m (No. 160, hexagonal axes)
Unique sites:
Nb 0.0000 0.0000 0.0000 [3 per cell]  3 H 2.08
Te 0.0000 0.0000 0.5817 [3 per cell]  3 H 2.85, 3 Nb 2.85
Te 0.0000 0.0000 0.7516 [3 per cell]  3 Nb 2.85, 3 H 2.85
H 0.0000 0.0000 0.3331 [3 per cell]  3 Nb 2.08

Summary:
Its calculated total energy is -5.4044 eV per atom. Its energy above the most stable polymorph in this dataset is 0.0000 eV per atom.

| no. | magnetization (μB/atom) |
| --- | --- |
| 1 | 0.0000 |
| 2 | 0.0000 |
| 3 | 0.0000 |
| 4 | 0.0000 |